(1)
First-principles (GGA-PBE) data for a geometry-optimized Pu2Ga3Au structure, as listed in Alexandria via LeMat-Bulk.

**Calculated formation energy**: -0.43 eV per atom
**E_tot**: -7.26 eV per atom

a b c (Å): 4.631 5.685 5.770
angles (deg): 72.89 66.34 65.97
Site moments in Bohr magnetons follow the coordinates.
Fractional positions:
Ga 0.164 0.799 0.873  -0.01
Ga 0.836 0.210 0.117  -0.04
Ga 0.833 0.625 0.708  -0.02
Pu 0.471 0.773 0.284  5.34
Pu 0.528 0.224 0.720  5.34
Au 0.167 0.368 0.298  0.00


(2)
First-principles (GGA-PBE) data for a geometry-optimized PuGa4Au structure, as listed in Alexandria via LeMat-Bulk.

**Calculated formation energy**: -0.14 eV per atom
**E_tot**: -5.10 eV per atom

a b c (Å): 5.494 5.494 5.494
angles (deg): 60.00 60.00 60.00
Site moments in Bohr magnetons follow the coordinates.
Fractional positions:
Ga 0.625 0.625 0.625  0.04
Ga 0.625 0.126 0.625  0.04
Ga 0.126 0.625 0.625  0.04
Ga 0.625 0.625 0.126  0.04
Au 0.000 0.000 0.000  0.00
Pu 0.250 0.250 0.250  5.44


(3)
First-principles (GGA-PBE) data for a geometry-optimized PuGa3Au9 structure, as listed in Alexandria via LeMat-Bulk.

**Calculated formation energy**: -0.01 eV per atom
**E_tot**: -4.08 eV per atom

a b c (Å): 7.301 7.301 7.029
angles (deg): 83.56 83.56 136.95
Site moments in Bohr magnetons follow the coordinates.
Fractional positions:
Au 0.535 0.324 0.210  0.00
Au 0.950 0.306 0.668  0.00
Au 0.676 0.465 0.790  0.00
Au 0.465 0.676 0.790  0.00
Au 0.050 0.694 0.332  0.00
Au 0.306 0.950 0.668  0.00
Au 0.000 0.000 0.500  0.00
Au 0.694 0.050 0.332  0.00
Au 0.324 0.535 0.210  0.00
Ga 0.500 0.000 0.000  0.00
Ga 0.000 0.500 0.000  0.00
Ga 0.500 0.500 0.500  0.00
Pu 0.000 0.000 0.000  -0.08


(4)
First-principles (GGA-PBE) data for a geometry-optimized PuGa4Au structure, as listed in Alexandria via LeMat-Bulk.

**Calculated formation energy**: -0.24 eV per atom
**E_tot**: -5.19 eV per atom

a b c (Å): 4.189 5.966 11.357
angles (deg): 67.35 90.00 110.55
Site moments in Bohr magnetons follow the coordinates.
Fractional positions:
Ga 0.006 0.513 0.840  0.01
Ga 0.695 0.891 0.079  0.00
Ga 0.195 0.891 0.579  0.00
Ga 0.994 0.487 0.160  0.01
Ga 0.805 0.109 0.421  0.00
Ga 0.506 0.513 0.340  0.01
Ga 0.305 0.109 0.921  0.00
Ga 0.494 0.487 0.660  0.01
Au 0.500 0.500 0.000  0.02
Au 0.000 0.500 0.500  0.02
Pu 0.750 0.000 0.750  5.32
Pu 0.250 0.000 0.250  5.32


(5)
First-principles (GGA-PBE) data for a geometry-optimized PuGa3Au3 structure, as listed in Alexandria via LeMat-Bulk.

**Calculated formation energy**: -0.27 eV per atom
**E above lowest polymorph**: 0 meV/atom
**E_tot**: -5.02 eV per atom

a b c (Å): 4.448 7.157 9.160
angles (deg): 107.34 90.00 90.00
Site moments in Bohr magnetons follow the coordinates.
Fractional positions:
Pu 0.750 0.397 0.643  5.30
Pu 0.250 0.603 0.357  5.30
Au 0.250 0.742 0.713  0.01
Au 0.250 0.906 0.150  0.00
Au 0.750 0.258 0.287  0.01
Au 0.750 0.750 0.947  0.01
Au 0.250 0.250 0.053  0.01
Au 0.750 0.094 0.850  0.00
Ga 0.250 0.526 0.907  -0.01
Ga 0.250 0.175 0.418  -0.01
Ga 0.750 0.825 0.582  -0.01
Ga 0.750 0.474 0.093  -0.01
Ga 0.250 0.125 0.701  -0.01
Ga 0.750 0.875 0.299  -0.01


(6)
First-principles (GGA-PBE) data for a geometry-optimized PuGaAu2 structure, as listed in Alexandria via LeMat-Bulk.

**Calculated formation energy**: -0.25 eV per atom
**E_tot**: -6.23 eV per atom

a b c (Å): 4.014 4.654 4.654
angles (deg): 90.00 90.00 90.00
Site moments in Bohr magnetons follow the coordinates.
Fractional positions:
Pu 0.500 0.500 0.500  5.33
Ga 0.500 0.000 0.000  0.02
Au 0.000 0.500 0.000  0.04
Au 0.000 0.000 0.500  0.04


(7)
First-principles (GGA-PBE) data for a geometry-optimized PuGa4Au8 structure, as listed in Alexandria via LeMat-Bulk.

**Calculated formation energy**: -0.21 eV per atom
**E_tot**: -4.26 eV per atom

a b c (Å): 5.553 7.171 7.171
angles (deg): 81.38 67.22 67.22
Site moments in Bohr magnetons follow the coordinates.
Fractional positions:
Au 0.333 0.667 0.667  0.01
Au 0.000 0.667 0.333  0.01
Au 0.283 0.217 0.217  0.00
Au 0.000 0.333 0.667  0.01
Au 0.667 0.333 0.333  0.01
Au 0.500 0.217 0.783  0.00
Au 0.500 0.783 0.217  0.00
Au 0.717 0.783 0.783  0.00
Pu 0.000 0.000 0.000  5.34
Ga 0.500 0.000 0.500  0.00
Ga 0.000 0.000 0.500  0.00
Ga 0.000 0.500 0.000  0.00
Ga 0.500 0.500 0.000  0.00


(8)
First-principles (GGA-PBE) data for a geometry-optimized Pu2Ga3Au6 structure, as listed in Alexandria via LeMat-Bulk.

**Calculated formation energy**: -0.34 eV per atom
**E_tot**: -5.56 eV per atom

a b c (Å): 4.420 7.780 7.780
angles (deg): 120.00 90.00 90.00
Site moments in Bohr magnetons follow the coordinates.
Fractional positions:
Ga 0.500 0.625 0.000  0.01
Ga 0.500 0.000 0.625  0.01
Ga 0.500 0.375 0.375  0.01
Pu 0.000 0.667 0.333  5.38
Pu 0.000 0.333 0.667  5.38
Au 0.000 0.211 0.211  0.01
Au 0.500 0.305 0.000  0.01
Au 0.500 0.000 0.305  0.01
Au 0.000 0.789 0.000  0.01
Au 0.000 0.000 0.789  0.01
Au 0.500 0.695 0.695  0.01


(9)
First-principles (GGA-PBE) data for a geometry-optimized PuGa3Au6 structure, as listed in Alexandria via LeMat-Bulk.

**Calculated formation energy**: -0.26 eV per atom
**E_tot**: -4.57 eV per atom

a b c (Å): 7.205 6.961 8.643
angles (deg): 113.62 90.00 90.00
Site moments in Bohr magnetons follow the coordinates.
Fractional positions:
Au 0.635 0.957 0.776  0.00
Au 0.260 0.407 0.167  -0.01
Au 0.865 0.457 0.276  0.00
Au 0.922 0.178 0.688  0.00
Au 0.365 0.043 0.224  0.00
Au 0.240 0.907 0.667  -0.01
Au 0.422 0.322 0.812  0.00
Au 0.760 0.093 0.333  -0.01
Au 0.578 0.678 0.188  0.00
Au 0.135 0.543 0.724  0.00
Au 0.740 0.593 0.833  -0.01
Au 0.078 0.822 0.312  0.00
Ga 0.908 0.744 0.576  -0.01
Ga 0.408 0.756 0.924  -0.01
Ga 0.500 0.000 0.500  0.00
Ga 0.592 0.244 0.076  -0.01
Ga 0.092 0.256 0.424  -0.01
Ga 0.000 0.500 0.000  0.00
Pu 0.000 0.000 0.000  5.33
Pu 0.500 0.500 0.500  5.33


(10)
First-principles (GGA-PBE) data for a geometry-optimized PuGaAu2 structure, as listed in Alexandria via LeMat-Bulk.

**Calculated formation energy**: -0.41 eV per atom
**E_tot**: -6.38 eV per atom

a b c (Å): 5.638 7.144 8.349
angles (deg): 90.00 90.00 90.00
Site moments in Bohr magnetons follow the coordinates.
Fractional positions:
Pu 0.864 0.750 0.451  5.37
Pu 0.136 0.250 0.549  5.37
Pu 0.636 0.750 0.951  5.37
Pu 0.364 0.250 0.049  5.37
Au 0.384 0.549 0.316  0.01
Au 0.884 0.451 0.184  0.01
Au 0.616 0.451 0.684  0.01
Au 0.116 0.549 0.816  0.01
Au 0.616 0.049 0.684  0.01
Au 0.384 0.951 0.316  0.01
Au 0.884 0.049 0.184  0.01
Au 0.116 0.951 0.816  0.01
Ga 0.863 0.250 0.895  0.00
Ga 0.363 0.750 0.605  0.00
Ga 0.137 0.750 0.105  0.00
Ga 0.637 0.250 0.395  0.00


(11)
First-principles (GGA-PBE) data for a geometry-optimized Pu3Ga4Au7 structure, as listed in Alexandria via LeMat-Bulk.

**Calculated formation energy**: -0.36 eV per atom
**E_tot**: -5.94 eV per atom

a b c (Å): 4.571 10.602 8.731
angles (deg): 45.85 74.83 77.55
Site moments in Bohr magnetons follow the coordinates.
Fractional positions:
Ga 0.140 0.157 0.562  0.00
Ga 0.638 0.436 0.288  -0.01
Ga 0.860 0.843 0.438  0.00
Ga 0.362 0.564 0.712  -0.01
Pu 0.638 0.831 0.894  5.31
Pu 0.000 0.500 0.500  5.33
Pu 0.362 0.169 0.106  5.31
Au 0.258 0.867 0.616  0.00
Au 0.000 0.000 0.000  0.02
Au 0.742 0.133 0.384  0.00
Au 0.190 0.541 0.079  0.01
Au 0.464 0.787 0.286  0.00
Au 0.810 0.459 0.921  0.01
Au 0.536 0.213 0.714  0.00


(12)
First-principles (GGA-PBE) data for a geometry-optimized Pu3GaAu3 structure, as listed in Alexandria via LeMat-Bulk.

**Calculated formation energy**: -0.39 eV per atom
**E_tot**: -8.37 eV per atom

a b c (Å): 4.868 3.161 10.473
angles (deg): 98.68 103.44 90.00
Site moments in Bohr magnetons follow the coordinates.
Fractional positions:
Au 0.860 0.360 0.719  0.00
Au 0.145 0.645 0.289  -0.01
Au 0.563 0.563 0.127  0.00
Pu 0.698 0.198 0.397  -5.37
Pu 0.302 0.802 0.604  5.32
Pu 0.000 0.000 0.000  5.38
Ga 0.432 0.432 0.863  -0.05